No. 1
YAlW2 | PBE | optimized geometry

* DOS at the Fermi energy: 3.0 states/eV per cell
* ΔE_f: 351 meV/atom
* E: -8.677 eV per atom
* SG: Pmmm (47)

Cell lengths 3.535, 4.459, 4.675 Å; angles 90.00, 90.00, 90.00 degrees
Sites, in units of the cell vectors:
Y (0.500, 0.000, 0.500)
Al (0.000, 0.500, 0.500)
W (0.000, 0.000, 0.000)
W (0.500, 0.500, 0.000)

---

No. 2
Y2AlW | PBE | optimized geometry

* DOS at the Fermi energy: 4.7 states/eV per cell
* ΔE_f: 169 meV/atom
* E: -7.237 eV per atom
* SG: Imm2 (44)

Cell lengths 5.748, 5.748, 5.748 Å; angles 140.35, 130.96, 64.82 degrees
Sites, in units of the cell vectors:
Y (0.009, 0.009, 0.000)
Y (0.734, 0.234, 0.500)
Al (0.471, 0.471, 0.000)
W (0.286, 0.786, 0.500)

---

No. 3
YAl2W | PBE | optimized geometry

* DOS at the Fermi energy: 4.1 states/eV per cell
* ΔE_f: 328 meV/atom
* E: -6.398 eV per atom
* distance to the lowest polymorph of the same formula: 400 meV/atom
* SG: F-43m (216)

Cell lengths 4.709, 4.709, 4.709 Å; angles 60.00, 60.00, 60.00 degrees
Sites, in units of the cell vectors:
Y (0.750, 0.750, 0.750)
Al (0.000, 0.000, 0.000)
Al (0.250, 0.250, 0.250)
W (0.500, 0.500, 0.500)

---

No. 4
YAl2W | PBE | optimized geometry

* DOS at the Fermi energy: 2.3 states/eV per cell
* ΔE_f: 37 meV/atom
* E: -6.689 eV per atom
* distance to the lowest polymorph of the same formula: 109 meV/atom
* SG: C2/m (12)

Cell lengths 4.846, 4.846, 5.734 Å; angles 82.51, 82.51, 35.91 degrees
Sites, in units of the cell vectors:
Y (0.750, 0.750, 0.750)
Al (0.989, 0.989, 0.056)
Al (0.511, 0.511, 0.444)
W (0.250, 0.250, 0.250)

---

No. 5
Y2AlW | PBE | optimized geometry

* DOS at the Fermi energy: 4.7 states/eV per cell
* ΔE_f: 441 meV/atom
* E: -6.965 eV per atom
* SG: P2/m (10)

Cell lengths 3.080, 5.756, 6.152 Å; angles 54.86, 90.00, 90.00 degrees
Sites, in units of the cell vectors:
Y (0.000, 0.000, 0.000)
Y (0.500, 0.500, 0.000)
Al (0.500, 0.500, 0.500)
W (0.000, 0.000, 0.500)

---

No. 6
YAlW2 | PBE | optimized geometry

* DOS at the Fermi energy: 2.3 states/eV per cell
* ΔE_f: 372 meV/atom
* E: -8.657 eV per atom
* SG: P4/mmm (123)

Cell lengths 2.815, 2.815, 9.169 Å; angles 90.00, 90.00, 90.00 degrees
Sites, in units of the cell vectors:
Y (0.500, 0.500, 0.250)
Al (0.500, 0.500, 0.750)
W (0.000, 0.000, 0.969)
W (0.000, 0.000, 0.531)

---

No. 7
YAl2W | PBE | optimized geometry

* DOS at the Fermi energy: 2.7 states/eV per cell
* ΔE_f: -72 meV/atom
* E: -6.798 eV per atom
* distance to the lowest polymorph of the same formula: 0 meV/atom
* SG: P2/m (10)

Cell lengths 4.088, 2.888, 6.949 Å; angles 65.77, 90.00, 90.00 degrees
Last column: magnetic moment on the atom in μB.
Sites, in units of the cell vectors:
Y (0.500, 0.750, 0.750)  0.13
Al (0.000, 0.955, 0.046)  0.00
Al (0.000, 0.545, 0.454)  0.00
W (0.500, 0.250, 0.250)  0.01

---

No. 8
YAlW2 | PBE | optimized geometry

* DOS at the Fermi energy: 2.5 states/eV per cell
* ΔE_f: 364 meV/atom
* E: -8.664 eV per atom
* SG: Cmmm (65)

Cell lengths 2.819, 2.819, 9.185 Å; angles 90.00, 90.00, 96.81 degrees
Sites, in units of the cell vectors:
Y (0.500, 0.500, 0.250)
Al (0.500, 0.500, 0.750)
W (0.000, 0.000, 0.970)
W (0.000, 0.000, 0.530)

---

No. 9
YAlW2 | PBE | optimized geometry

* DOS at the Fermi energy: 5.0 states/eV per cell
* ΔE_f: 535 meV/atom
* E: -8.494 eV per atom
* SG: R-3m (166)

Cell lengths 10.058, 10.058, 10.058 Å; angles 16.70, 16.70, 16.70 degrees
Last column: magnetic moment on the atom in μB.
Sites, in units of the cell vectors:
Y (0.750, 0.750, 0.750)  0.10
Al (0.250, 0.250, 0.250)  0.00
W (0.991, 0.991, 0.991)  0.02
W (0.509, 0.509, 0.509)  0.02

---

No. 10
Y2AlW | PBE | optimized geometry

* DOS at the Fermi energy: 4.5 states/eV per cell
* ΔE_f: 140 meV/atom
* E: -7.266 eV per atom
* SG: P4mm (99)

Cell lengths 3.519, 3.519, 7.730 Å; angles 90.00, 90.00, 90.00 degrees
Sites, in units of the cell vectors:
Y (0.000, 0.000, 0.938)
Y (0.500, 0.500, 0.318)
Al (0.000, 0.000, 0.555)
W (0.500, 0.500, 0.689)

---

No. 11
Y2AlW | PBE | optimized geometry

* DOS at the Fermi energy: 3.1 states/eV per cell
* ΔE_f: 225 meV/atom
* E: -7.181 eV per atom
* SG: P4/mmm (123)

Cell lengths 3.102, 3.102, 9.324 Å; angles 90.00, 90.00, 90.08 degrees
Sites, in units of the cell vectors:
Y (0.000, 0.000, 0.994)
Y (0.000, 0.000, 0.506)
Al (0.500, 0.500, 0.250)
W (0.500, 0.500, 0.750)

---

No. 12
Y2AlW | PBE | optimized geometry

* DOS at the Fermi energy: 3.5 states/eV per cell
* ΔE_f: 194 meV/atom
* E: -7.212 eV per atom
* SG: Pmmm (47)

Cell lengths 3.972, 3.197, 7.815 Å; angles 65.85, 90.00, 90.00 degrees
Sites, in units of the cell vectors:
Y (0.000, 0.005, 0.995)
Y (0.000, 0.495, 0.505)
Al (0.500, 0.250, 0.250)
W (0.500, 0.750, 0.750)

---

No. 13
Y2AlW | PBE | optimized geometry

* DOS at the Fermi energy: 4.8 states/eV per cell
* ΔE_f: 342 meV/atom
* E: -7.064 eV per atom
* SG: F-43m (216)

Cell lengths 4.955, 4.955, 4.955 Å; angles 60.00, 60.00, 60.00 degrees
Last column: magnetic moment on the atom in μB.
Sites, in units of the cell vectors:
Y (0.000, 0.000, 0.000)  0.18
Y (0.250, 0.250, 0.250)  0.00
Al (0.500, 0.500, 0.500)  -0.01
W (0.750, 0.750, 0.750)  0.63

---

No. 14
YAlW3 | PBE | optimized geometry

* DOS at the Fermi energy: 5.4 states/eV per cell
* ΔE_f: 2975 meV/atom
* E: -6.839 eV per atom
* distance to the lowest polymorph of the same formula: 1571 meV/atom
* SG: Pm-3m (221)

Cell lengths 4.819, 4.819, 4.819 Å; angles 90.00, 90.00, 90.00 degrees
Sites, in units of the cell vectors:
Y (0.000, 0.000, 0.000)
Al (0.500, 0.500, 0.500)
W (0.000, 0.500, 0.000)
W (0.000, 0.000, 0.500)
W (0.500, 0.000, 0.000)

---

No. 15
YAlW2 | PBE | optimized geometry

* DOS at the Fermi energy: 2.1 states/eV per cell
* ΔE_f: 42 meV/atom
* E: -8.986 eV per atom
* SG: P4mm (99)

Cell lengths 3.293, 3.293, 7.038 Å; angles 90.00, 90.00, 90.00 degrees
Sites, in units of the cell vectors:
Y (0.000, 0.000, 0.490)
Al (0.500, 0.500, 0.798)
W (0.000, 0.000, 0.010)
W (0.500, 0.500, 0.203)

---

No. 16
YAlW2 | PBE | optimized geometry

* DOS at the Fermi energy: 2.7 states/eV per cell
* ΔE_f: 226 meV/atom
* E: -8.803 eV per atom
* SG: Pm (6)

Cell lengths 4.250, 2.873, 6.565 Å; angles 72.89, 90.00, 90.00 degrees
Sites, in units of the cell vectors:
Y (0.000, 0.468, 0.494)
Al (0.500, 0.762, 0.796)
W (0.000, 0.075, 0.003)
W (0.500, 0.195, 0.207)

---

No. 17
Y3AlW | PBE | optimized geometry

* DOS at the Fermi energy: 8.8 states/eV per cell
* ΔE_f: 1184 meV/atom
* E: -6.034 eV per atom
* distance to the lowest polymorph of the same formula: 525 meV/atom
* SG: Pm-3m (221)

Cell lengths 5.386, 5.386, 5.386 Å; angles 90.00, 90.00, 90.00 degrees
Last column: magnetic moment on the atom in μB.
Sites, in units of the cell vectors:
Y (0.000, 0.500, 0.000)  0.03
Y (0.000, 0.000, 0.500)  0.04
Y (0.500, 0.000, 0.000)  -0.02
Al (0.000, 0.000, 0.000)  0.03
W (0.500, 0.500, 0.500)  2.51

---

No. 18
YAl2W | PBE | optimized geometry

* DOS at the Fermi energy: 3.1 states/eV per cell
* ΔE_f: 177 meV/atom
* E: -6.549 eV per atom
* distance to the lowest polymorph of the same formula: 249 meV/atom
* SG: R-3m (166)

Cell lengths 9.958, 9.958, 9.958 Å; angles 17.27, 17.27, 17.27 degrees
Sites, in units of the cell vectors:
Y (0.750, 0.750, 0.750)
Al (0.991, 0.991, 0.991)
Al (0.509, 0.509, 0.509)
W (0.250, 0.250, 0.250)

---

No. 19
YAl2W | PBE | optimized geometry

* DOS at the Fermi energy: 2.5 states/eV per cell
* ΔE_f: 39 meV/atom
* E: -6.687 eV per atom
* distance to the lowest polymorph of the same formula: 111 meV/atom
* SG: Amm2 (38)

Cell lengths 4.306, 3.164, 5.750 Å; angles 74.04, 90.00, 90.00 degrees
Sites, in units of the cell vectors:
Y (0.500, 0.796, 0.783)
Al (0.000, 0.183, 0.009)
Al (0.500, 0.051, 0.273)
W (0.000, 0.470, 0.435)

---

No. 20
Y4AlW | PBE | optimized geometry

* DOS at the Fermi energy: 5.1 states/eV per cell
* ΔE_f: 881 meV/atom
* E: -6.211 eV per atom
* SG: F-43m (216)

Cell lengths 6.005, 6.005, 6.005 Å; angles 60.00, 60.00, 60.00 degrees
Sites, in units of the cell vectors:
Y (0.879, 0.374, 0.374)
Y (0.374, 0.374, 0.879)
Y (0.374, 0.879, 0.374)
Y (0.374, 0.374, 0.374)
Al (0.750, 0.750, 0.750)
W (0.000, 0.000, 0.000)